VASP calculation (PBE with a Hubbard U) on crystalline Si2MoO6 at its relaxed geometry.

Geometry as CIF:
```
data_Si2MoO6
_cell_length_a 4.9418
_cell_length_b 19.4139
_cell_length_c 11.4365
_cell_angle_alpha 90.00
_cell_angle_beta 90.00
_cell_angle_gamma 90.00
_space_group_name_H-M_alt 'P b c a'
_space_group_IT_number 61
_space_group_name_Hall '-P 2ac 2ab'
loop_
_atom_site_label
_atom_site_type_symbol
_atom_site_fract_x
_atom_site_fract_y
_atom_site_fract_z
Si1 Si 0.1635 0.2494 0.1702
Si2 Si 0.2179 0.5083 0.3284
Mo1 Mo 0.0482 0.6252 0.9944
O1 O 0.1002 0.0170 0.2090
O2 O 0.1554 0.7477 0.7903
O3 O 0.2140 0.0673 0.4245
O4 O 0.2171 0.1843 0.5850
O5 O 0.2314 0.1779 0.1018
O6 O 0.2377 0.5691 0.8817
```

Output
VASP energy   -7.573 eV/atom